# VHgAu2

VHgAu2 after structural relaxation (PBE, the Alexandria database).

Total moment, Bohr magnetons per cell: 12.29
DFT total energy, eV per atom: -3.65

a = 7.6189 Å, b = 7.6189 Å, c = 5.6237 Å
α = 90.00°, β = 90.00°, γ = 90.00°
Closest atoms and distances in Å follow each position.
Space group I-42d (No. 122)
Inequivalent atoms, fractional coordinates:
V 0.0000 0.0000 0.0000 [4 per cell]  4 Au 2.68, 2 Hg 2.81
Hg 0.0000 0.0000 0.5000 [4 per cell]  2 V 2.81, 4 Au 2.89
Au 0.2304 0.2500 0.1250 [8 per cell]  2 V 2.68, 2 Au 2.83, 2 Hg 2.89


# Y3TlW

Y3TlW after structural relaxation (PBE, the Alexandria database).

Total moment, Bohr magnetons per cell: 4.20
DFT total energy, eV per atom: -5.60
Distance to the lowest polymorph of the same formula, eV per atom: 0.838

a = 5.6212 Å, b = 5.6212 Å, c = 5.6212 Å
α = 90.00°, β = 90.00°, γ = 90.00°
Closest atoms and distances in Å follow each position.
Space group Pm-3m (No. 221)
Inequivalent atoms, fractional coordinates:
Y 0.0000 0.0000 0.5000 [3 per cell]  2 Tl 2.81
Tl 0.0000 0.0000 0.0000 [1 per cell]  6 Y 2.81
W 0.5000 0.5000 0.5000 [1 per cell]  12 Y 3.97


# Si2IrRu

Si2IrRu after structural relaxation (PBE, the Alexandria database).

Total moment, Bohr magnetons per cell: 0.00
Formation energy without anion corrections, eV per atom: -0.473
DFT total energy, eV per atom: -7.72

a = 3.1660 Å, b = 3.1660 Å, c = 5.5046 Å
α = 90.00°, β = 90.00°, γ = 90.00°
Closest atoms and distances in Å follow each position.
Space group P4mm (No. 99)
Inequivalent atoms, fractional coordinates:
Si 0.0000 0.0000 0.0000 [1 per cell]  4 Ru 2.43, 1 Ir 2.46, 4 Si 2.70
Si 0.5000 0.5000 0.2749 [1 per cell]  4 Ir 2.43, 1 Ru 2.46, 4 Si 2.70
Ir 0.0000 0.0000 0.4466 [1 per cell]  5 Si 2.43-2.46
Ru 0.5000 0.5000 0.8275 [1 per cell]  5 Si 2.43-2.46


# Li2LaTlCl6

Li2LaTlCl6 after structural relaxation (PBE, the Alexandria database).

Total moment, Bohr magnetons per cell: 0.00
Formation energy without anion corrections, eV per atom: -1.855
DFT total energy, eV per atom: -4.07

a = 7.0361 Å, b = 7.0361 Å, c = 18.6646 Å
α = 90.00°, β = 90.00°, γ = 120.00°
Closest atoms and distances in Å follow each position.
Space group R3 (No. 146, hexagonal axes)
Inequivalent atoms, fractional coordinates:
Li 0.0000 0.0000 0.0000 [3 per cell]  6 Cl 2.57-2.79
Li 0.0000 0.0000 0.4945 [3 per cell]  3 Cl 2.50
La 0.0000 0.0000 0.7941 [3 per cell]  6 Cl 2.81
Tl 0.0000 0.0000 0.2722 [3 per cell]  6 Cl 3.14-3.31
Cl 0.0028 0.3704 0.7361 [9 per cell]  2 Li 2.57-2.82, 1 La 2.81
Cl 0.1043 0.7625 0.5646 [9 per cell]  2 Li 2.50-2.79


# TaGa

TaGa after structural relaxation (PBE, the Alexandria database).

Total moment, Bohr magnetons per cell: 0.00
DFT total energy, eV per atom: -5.90

a = 5.8499 Å, b = 5.8499 Å, c = 5.8499 Å
α = 90.00°, β = 90.00°, γ = 90.00°
Closest atoms and distances in Å follow each position.
Space group F-43m (No. 216)
Inequivalent atoms, fractional coordinates:
Ta 0.0000 0.0000 0.0000 [4 per cell]  4 Ga 2.53
Ga 0.2500 0.2500 0.2500 [4 per cell]  4 Ta 2.53


# TbThSc2S4

TbThSc2S4 after structural relaxation (PBE, the Alexandria database).

Total moment, Bohr magnetons per cell: 0.00
Formation energy without anion corrections, eV per atom: -1.865
DFT total energy, eV per atom: -7.02

a = 6.6271 Å, b = 3.8035 Å, c = 6.7416 Å
α = 90.00°, β = 108.99°, γ = 90.00°
Closest atoms and distances in Å follow each position.
Space group P2/m (No. 10)
Inequivalent atoms, fractional coordinates:
Tb 0.0000 0.0000 0.0000 [1 per cell]  6 S 2.79-2.80
Th 0.5000 0.5000 0.0000 [1 per cell]  6 S 2.83-2.84
Sc 0.0000 0.5000 0.5000 [1 per cell]  6 S 2.61
Sc 0.5000 0.0000 0.5000 [1 per cell]  6 S 2.65
S 0.2357 0.0000 0.7229 [2 per cell]  3 Sc 2.61-2.65, 1 Tb 2.80, 2 Th 2.84
S 0.2526 0.5000 0.2725 [2 per cell]  3 Sc 2.61-2.65, 2 Tb 2.79, 1 Th 2.83